The following is a PBE-GGA calculation of a geometry-optimized NdPu2FeN4 structure, from Alexandria.

Cell lengths 5.960, 5.960, 11.410 Å; angles 90.00, 90.00, 146.47 degrees
Fractional coordinates of all 16 atoms:
Nd 0.102 0.898 0.750
Nd 0.898 0.102 0.250
Pu 0.369 0.631 0.555
Pu 0.369 0.631 0.945
Pu 0.631 0.369 0.055
Pu 0.631 0.369 0.445
Fe 0.161 0.839 0.250
Fe 0.839 0.161 0.750
N 0.000 0.000 0.000
N 0.000 0.000 0.500
N 0.265 0.735 0.113
N 0.265 0.735 0.387
N 0.442 0.558 0.750
N 0.558 0.442 0.250
N 0.735 0.265 0.613
N 0.735 0.265 0.887

Computed properties:
The density of states at the Fermi level is 10.27 states/eV/f.u. The calculation puts the total magnetic moment at 5.0 μB/f.u. The calculation puts the raw total energy at -10.45 eV per atom. Its energy relative to the elements, uncorrected is -8.4 eV/f.u.